DFT (PBE) results for a relaxed NaCaSmZn crystal.

Cell: 5.410 5.410 5.410 Å, 60.00 60.00 60.00°
Sites, in units of the cell vectors:
Zn (0.000, 0.000, 0.000)
Sm (0.750, 0.750, 0.750)
Ca (0.250, 0.250, 0.250)
Na (0.500, 0.500, 0.500)

Summary:
- Final energy: -9.20 eV per formula unit
- DOS at the Fermi energy: 2.37 states/eV/f.u.
- ΔH_f (0 K): 2.8 kJ/mol of atoms

DFT (PBE) results for a relaxed Na2Ca2Sn3 crystal.

Cell: 4.852 7.505 7.770 Å, 117.35 90.00 108.86°
Sites, in units of the cell vectors:
Sn (0.412, 0.825, 0.538)
Sn (0.500, 0.000, 0.000)
Sn (0.588, 0.175, 0.462)
Na (0.111, 0.222, 0.759)
Na (0.889, 0.778, 0.241)
Ca (0.155, 0.310, 0.269)
Ca (0.845, 0.690, 0.731)

Summary:
- Final energy: -20.68 eV per formula unit
- DOS at the Fermi energy: 3.10 states/eV/f.u.
- ΔH_f (0 K): -28.0 kJ/mol of atoms

DFT (PBE) results for a relaxed Na10CaSn12 crystal.

Cell: 9.756 9.756 9.756 Å, 109.47 109.47 109.47°
Sites, in units of the cell vectors:
Sn (0.817, 0.628, 0.628)
Sn (0.000, 0.189, 0.372)
Sn (0.628, 0.817, 0.628)
Sn (0.372, 0.000, 0.189)
Sn (0.000, 0.372, 0.189)
Sn (0.372, 0.189, 0.000)
Sn (0.189, 0.372, 0.000)
Sn (0.811, 0.183, 0.811)
Sn (0.628, 0.628, 0.817)
Sn (0.183, 0.811, 0.811)
Sn (0.189, 0.000, 0.372)
Sn (0.811, 0.811, 0.183)
Na (0.615, 0.000, 0.000)
Na (0.000, 0.615, 0.000)
Na (0.750, 0.250, 0.500)
Na (0.000, 0.000, 0.615)
Na (0.250, 0.500, 0.750)
Na (0.500, 0.250, 0.750)
Na (0.500, 0.750, 0.250)
Na (0.250, 0.750, 0.500)
Na (0.750, 0.500, 0.250)
Na (0.385, 0.385, 0.385)
Ca (0.000, 0.000, 0.000)

Summary:
- Final energy: -69.38 eV per formula unit
- ΔH_f (0 K): -25.8 kJ/mol of atoms

DFT (PBE) results for a relaxed NaCa4Sn15 crystal.

Cell: 4.774 4.774 23.566 Å, 90.00 90.00 90.00°
Sites, in units of the cell vectors:
Sn (0.500, 0.500, 0.200)
Sn (0.000, 0.500, 0.700)
Sn (0.500, 0.500, 0.000)
Sn (0.500, 0.000, 0.099)
Sn (0.000, 0.500, 0.901)
Sn (0.000, 0.500, 0.099)
Sn (0.000, 0.500, 0.500)
Sn (0.500, 0.500, 0.800)
Sn (0.500, 0.000, 0.500)
Sn (0.500, 0.500, 0.400)
Sn (0.500, 0.000, 0.300)
Sn (0.500, 0.000, 0.700)
Sn (0.500, 0.500, 0.600)
Sn (0.000, 0.500, 0.300)
Sn (0.500, 0.000, 0.901)
Ca (0.000, 0.000, 0.600)
Ca (0.000, 0.000, 0.798)
Ca (0.000, 0.000, 0.400)
Ca (0.000, 0.000, 0.202)
Na (0.000, 0.000, 0.000)

Summary:
- Final energy: -75.70 eV per formula unit
- DOS at the Fermi energy: 13.10 states/eV/f.u.
- ΔH_f (0 K): -30.6 kJ/mol of atoms

DFT (PBE) results for a relaxed NaCa7Sn4 crystal.

Cell: 5.714 9.729 7.930 Å, 81.19 68.88 72.92°
Sites, in units of the cell vectors:
Sn (0.697, 0.675, 0.931)
Sn (0.563, 0.220, 0.653)
Sn (0.437, 0.780, 0.347)
Sn (0.303, 0.325, 0.069)
Ca (0.343, 0.593, 0.722)
Ca (0.082, 0.651, 0.185)
Ca (0.657, 0.407, 0.278)
Ca (0.785, 0.872, 0.558)
Ca (0.215, 0.128, 0.442)
Ca (0.500, 0.000, 0.000)
Ca (0.918, 0.349, 0.815)
Na (0.000, 0.000, 0.000)

Summary:
- Final energy: -36.13 eV per formula unit
- DOS at the Fermi energy: 8.90 states/eV/f.u.
- ΔH_f (0 K): -38.5 kJ/mol of atoms

DFT (PBE) results for a relaxed Na2Ca2Sn15 crystal.

Cell: 8.554 8.554 8.554 Å, 73.95 73.95 73.95°
Sites, in units of the cell vectors:
Ca (0.102, 0.102, 0.102)
Ca (0.898, 0.898, 0.898)
Sn (0.000, 0.705, 0.295)
Sn (0.000, 0.295, 0.705)
Sn (0.854, 0.384, 0.384)
Sn (0.500, 0.000, 0.000)
Sn (0.384, 0.854, 0.384)
Sn (0.705, 0.295, 0.000)
Sn (0.295, 0.705, 0.000)
Sn (0.616, 0.616, 0.146)
Sn (0.146, 0.616, 0.616)
Sn (0.000, 0.500, 0.000)
Sn (0.000, 0.000, 0.500)
Sn (0.705, 0.000, 0.295)
Sn (0.295, 0.000, 0.705)
Sn (0.616, 0.146, 0.616)
Sn (0.384, 0.384, 0.854)
Na (0.673, 0.673, 0.673)
Na (0.327, 0.327, 0.327)

Summary:
- Final energy: -69.13 eV per formula unit
- DOS at the Fermi energy: 9.35 states/eV/f.u.
- ΔH_f (0 K): -12.4 kJ/mol of atoms

DFT (PBE) results for a relaxed NaCa4Sn5 crystal.

Cell: 3.475 3.475 23.140 Å, 90.00 90.00 90.00°
Sites, in units of the cell vectors:
Ca (0.000, 0.000, 0.205)
Ca (0.000, 0.000, 0.402)
Ca (0.000, 0.000, 0.598)
Ca (0.000, 0.000, 0.795)
Sn (0.500, 0.500, 0.103)
Sn (0.500, 0.500, 0.303)
Sn (0.500, 0.500, 0.500)
Sn (0.500, 0.500, 0.897)
Sn (0.500, 0.500, 0.697)
Na (0.000, 0.000, 0.000)

Summary:
- Final energy: -34.44 eV per formula unit
- DOS at the Fermi energy: 3.53 states/eV/f.u.
- ΔH_f (0 K): -49.2 kJ/mol of atoms

DFT (PBE) results for a relaxed Na4CaSn15 crystal.

Cell: 4.762 4.762 23.528 Å, 90.00 90.00 90.00°
Sites, in units of the cell vectors:
Sn (0.500, 0.000, 0.500)
Sn (0.000, 0.500, 0.101)
Sn (0.500, 0.500, 0.600)
Sn (0.500, 0.000, 0.700)
Sn (0.500, 0.500, 0.000)
Sn (0.000, 0.500, 0.700)
Sn (0.500, 0.500, 0.400)
Sn (0.500, 0.000, 0.899)
Sn (0.500, 0.500, 0.800)
Sn (0.500, 0.000, 0.101)
Sn (0.000, 0.500, 0.300)
Sn (0.500, 0.000, 0.300)
Sn (0.000, 0.500, 0.500)
Sn (0.500, 0.500, 0.200)
Sn (0.000, 0.500, 0.899)
Na (0.000, 0.000, 0.801)
Na (0.000, 0.000, 0.600)
Na (0.000, 0.000, 0.400)
Na (0.000, 0.000, 0.199)
Ca (0.000, 0.000, 0.000)

Summary:
- Final energy: -70.39 eV per formula unit
- DOS at the Fermi energy: 12.64 states/eV/f.u.
- ΔH_f (0 K): -14.8 kJ/mol of atoms

Question: final energy of number 7 (NaCa4Sn5)?
Answer: -34.44 eV per formula unit